Computed, not measured: a relaxed structure of MnCoSb at the PBE-GGA level of DFT.

Structure (CIF):
```
data_MnCoSb
_chemical_formula_sum 'Mn4 Co4 Sb4'
_space_group_name_H-M_alt 'F -4 3 m'
_space_group_IT_number 216
_space_group_name_Hall 'F -4 2 3'
_cell_length_a 5.8204
_cell_length_b 5.8204
_cell_length_c 5.8204
_cell_angle_alpha 90.00
_cell_angle_beta 90.00
_cell_angle_gamma 90.00
loop_
_atom_site_label
_atom_site_type_symbol
_atom_site_fract_x
_atom_site_fract_y
_atom_site_fract_z
_atom_site_occupancy
Mn1 Mn 0.0000 0.0000 0.0000 1
Co1 Co 0.2500 0.2500 0.2500 1
Sb1 Sb 0.0000 0.0000 0.5000 1
```

## Properties
Density ... 7.94 g cm⁻³
Total moment ... 12.00 Bohr magnetons per cell
Total energy ... -6.90 eV/atom